NaSiAsSe2 | PBE-GGA | optimized geometry

Results
formation energy from raw total energies = 1043 meV per atom
N(E_F) = 5.057 states/eV per cell
crystal system = tetragonal

Cell: 5.1250 5.1250 4.8918 Å, 90.00 90.00 90.00°
Positions (direct):
Na  0.0000  0.0000  0.0000
Si  0.5000  0.5000  0.5000
As  0.0000  0.0000  0.5000
Se  0.0000  0.5000  0.0000
Se  0.5000  0.0000  0.0000

---

NaSiAs2Se | PBE-GGA | optimized geometry

Results
formation energy from raw total energies = 219 meV per atom
N(E_F) = 5.439 states/eV per cell
crystal system = tetragonal

Cell: 4.8358 4.8358 5.0931 Å, 90.00 90.00 90.00°
Positions (direct):
Na  0.0000  0.0000  0.0000
Si  0.5000  0.5000  0.5000
As  0.0000  0.5000  0.5000
As  0.5000  0.0000  0.5000
Se  0.5000  0.5000  0.0000

---

| no. | ρ (g/cm³) | final energy (eV per cell) | excess energy over the best structure of this formula in the dataset (eV per atom) |
| --- | --- | --- | --- |
| 1 | 3.67 | -13.1 | 1.0100 |
| 2 | 3.90 | -18.4 | 0.0000 |